1.
Compound: PmDyNiSn
Source: the Alexandria database
Functional: PBE
Structure: relaxed

Unit cell a=5.1677 b=5.1677 c=5.1677 alpha=60.00 beta=60.00 gamma=60.00
Closest atoms and distances in Å follow each position.
Fractional positions:
Ni: 0.7500 0.7500 0.7500  4 Pm 3.16, 4 Dy 3.16
Pm: 0.0000 0.0000 0.0000  4 Ni 3.16, 4 Sn 3.16
Sn: 0.2500 0.2500 0.2500  4 Dy 3.16, 4 Pm 3.16
Dy: 0.5000 0.5000 0.5000  4 Ni 3.16, 4 Sn 3.16

Summary:
crystal system: cubic
calculated density: 8.252 Mg/m³
SG: No. 216
magnetization: 0.0 μB/cell
Fermi-level density of states: 0.63 states/eV per atom
electronic total energy: -20.769 eV/cell

---

2.
Compound: PmDyZnNi
Source: the Alexandria database
Functional: PBE
Structure: relaxed

Unit cell a=3.8566 b=4.4383 c=5.6255 alpha=90.00 beta=110.05 gamma=90.00
Closest atoms and distances in Å follow each position.
Fractional positions:
Pm: 0.1411 0.0000 0.2822  3 Ni 2.92-3.09, 4 Zn 3.04
Dy: 0.8588 0.5000 0.7175  3 Zn 2.92-3.09, 4 Ni 3.04
Zn: 0.5664 0.5000 0.1328  2 Ni 2.62, 2 Dy 2.92
Ni: 0.4337 0.0000 0.8675  2 Zn 2.62, 2 Pm 2.92

Summary:
crystal system: orthorhombic
calculated density: 7.923 Mg/m³
SG: No. 38
energy relative to the lowest polymorph listed for this composition: 0 meV per atom
magnetization: 0.0 μB/cell
Fermi-level density of states: 0.75 states/eV per atom
electronic total energy: -17.695 eV/cell

---

3.
Compound: PmDyZnNi
Source: the Alexandria database
Functional: PBE
Structure: relaxed

Unit cell a=4.9797 b=4.9797 c=4.9797 alpha=60.00 beta=60.00 gamma=60.00
Closest atoms and distances in Å follow each position.
Fractional positions:
Ni: 0.5000 0.5000 0.5000  4 Pm 3.05, 4 Dy 3.05
Zn: 0.0000 0.0000 0.0000  4 Dy 3.05, 4 Pm 3.05
Pm: 0.7500 0.7500 0.7500  4 Ni 3.05, 4 Zn 3.05
Dy: 0.2500 0.2500 0.2500  4 Ni 3.05, 4 Zn 3.05

Summary:
crystal system: cubic
calculated density: 8.208 Mg/m³
SG: No. 216
energy relative to the lowest polymorph listed for this composition: 21 meV per atom
magnetization: 0.0 μB/cell
Fermi-level density of states: 0.76 states/eV per atom
electronic total energy: -17.609 eV/cell

---

Number 1: formation enthalpy at 0 K -0.4081 eV per atom. Number 2: formation enthalpy at 0 K -0.3218 eV per atom. Number 3: formation enthalpy at 0 K -0.3003 eV per atom.